Here is a relaxed structure of LaCe2Os from the Alexandria database. Energies are from PBE.

Cell lengths 3.5623, 3.5623, 8.1039 Å; angles 90.00, 90.00, 90.00 degrees
Space group P4/mmm (No. 123)
Inequivalent atoms, fractional coordinates:
La1 0.0000 0.0000 0.0000 (multiplicity 1)
Ce1 0.5000 0.5000 0.3033 (multiplicity 2)
Os1 0.0000 0.0000 0.5000 (multiplicity 1)

## Properties
- energy (eV/atom) = -7.0199
- energy of formation (meV per atom) = -13.7
- ΔE to the lowest computed polymorph (meV per atom) = 120.1